# 1
First-principles (PBE) data for an optimized crystal structure of NiSeI3, as listed in Alexandria via LeMat-Bulk.

Cell: 5.222 5.222 5.222 Å, 90.00 90.00 90.00°
Sites, in units of the cell vectors:
Ni1 0.000 0.000 0.000
Se1 0.500 0.500 0.500
I1 0.000 0.000 0.500
I2 0.000 0.500 0.000
I3 0.500 0.000 0.000

Properties
The value obtained for the formation energy from raw total energies is 2.15 eV/f.u. Its distance to the lowest polymorph of the same formula is 2.23 eV per formula unit. Its magnetic moment is 0.000 Bohr magnetons per cell.

***

# 2
First-principles (PBE) data for an optimized crystal structure of Ni3SeI, as listed in Alexandria via LeMat-Bulk.

Cell: 4.522 4.522 4.522 Å, 90.00 90.00 90.00°
Sites, in units of the cell vectors:
Ni1 0.000 0.000 0.500
Ni2 0.000 0.500 0.000
Ni3 0.500 0.000 0.000
Se1 0.000 0.000 0.000
I1 0.500 0.500 0.500

Properties
The value obtained for the formation energy from raw total energies is 2.36 eV/f.u. Its magnetic moment is 0.001 Bohr magnetons per cell.

***

# 3
First-principles (PBE) data for an optimized crystal structure of NiSeI3, as listed in Alexandria via LeMat-Bulk.

Cell: 6.982 7.972 13.656 Å, 90.00 92.07 90.00°
Sites, in units of the cell vectors:
Ni1 0.062 0.124 0.118
Ni2 0.062 0.876 0.618
Ni3 0.938 0.124 0.382
Ni4 0.938 0.876 0.882
Se1 0.024 0.405 0.166
Se2 0.024 0.595 0.666
Se3 0.976 0.405 0.334
Se4 0.976 0.595 0.834
I1 0.154 0.155 0.539
I2 0.154 0.845 0.039
I3 0.254 0.032 0.274
I4 0.254 0.968 0.774
I5 0.349 0.345 0.046
I6 0.349 0.655 0.546
I7 0.651 0.345 0.454
I8 0.651 0.655 0.954
I9 0.746 0.032 0.226
I10 0.746 0.968 0.726
I11 0.846 0.155 0.961
I12 0.846 0.845 0.461

Properties
The value obtained for the formation energy from raw total energies is -0.08 eV/f.u. Its distance to the lowest polymorph of the same formula is 0.00 eV per formula unit. Its magnetic moment is 0.000 Bohr magnetons per cell.